one | VASP calculation (PBE+U) on a geometry-optimized Li4CoP2O8 structure.

Cell and atoms, written as extended XYZ:
```
15
Lattice="4.824 0.000 0.000 -0.712 5.455 0.000 -0.550 -0.743 6.050" Properties=species:S:1:pos:R:3 pbc="T T T"
Li 0.658 1.542 0.182
Li 0.290 2.377 4.111
Li 3.273 2.334 1.939
Li 2.905 3.169 5.869
Co -0.275 -0.372 3.025
P 0.978 4.222 1.363
P 2.584 0.490 4.687
O 0.237 3.359 2.451
O 0.150 2.874 6.020
O 1.057 0.183 1.496
O 1.045 0.507 4.447
O 2.518 4.205 1.603
O 2.505 4.528 4.555
O 3.412 1.838 0.030
O 3.326 1.353 3.600
```

## Properties
* space-group type: P-1 (2)
* mass density: 2.9 g/cm3
* size of the total moment: 0.2001 μB/atom

=====

two | VASP calculation (PBE+U) on a geometry-optimized Li4CoP2O8 structure.

Cell and atoms, written as extended XYZ:
```
60
Lattice="8.236 0.000 0.000 0.000 10.429 0.000 -2.094 0.000 7.933" Properties=species:S:1:pos:R:3 pbc="T T T"
Li -0.384 0.759 2.164
Li -1.431 4.456 6.131
Li -0.417 1.703 4.762
Li 0.630 3.512 0.796
Li -0.102 6.909 5.215
Li 0.945 8.735 1.248
Li 2.155 1.583 2.778
Li 1.108 3.631 6.744
Li 5.035 6.798 1.189
Li 3.988 8.846 5.156
Li 5.198 1.695 6.685
Li 6.245 3.520 2.719
Li 5.512 6.917 7.137
Li 6.559 8.727 3.171
Li 7.573 5.974 1.802
Li 6.526 9.670 5.769
Co 2.486 6.838 3.256
Co 1.439 8.806 7.223
Co 4.704 1.624 0.710
Co 3.657 3.591 4.677
P -0.310 0.963 7.735
P 0.737 4.252 3.768
P 2.131 6.192 0.274
P 1.084 9.452 4.240
P 5.058 0.977 3.693
P 4.011 4.237 7.659
P 5.405 6.178 4.165
P 6.452 9.466 0.199
O -1.192 1.046 6.458
O -0.145 4.169 2.492
O 0.775 6.828 0.704
O -0.272 8.816 4.670
O 1.054 1.576 1.026
O 0.007 3.638 4.992
O 0.860 0.486 3.796
O -0.187 4.728 7.762
O 1.041 5.757 4.058
O 2.088 9.887 0.091
O 0.644 6.997 7.016
O 1.692 8.647 3.049
O 1.012 1.750 7.471
O 2.059 3.464 3.504
O 3.141 6.306 1.464
O 2.094 9.338 5.431
O 4.048 1.091 2.503
O 3.001 4.124 6.469
O 4.084 6.965 4.429
O 5.131 8.679 0.462
O 4.451 1.783 4.884
O 5.498 3.432 0.917
O 4.054 0.543 7.842
O 5.101 4.672 3.875
O 6.329 5.701 0.171
O 5.282 9.943 4.137
O 6.135 6.791 2.941
O 5.088 8.853 6.908
O 6.414 1.613 3.263
O 5.367 3.602 7.229
O 6.288 6.260 5.441
O 7.335 9.384 1.475
```

## Properties
* space-group type: P2_1/c (14)
* mass density: 2.7 g/cm3
* size of the total moment: 0.2000 μB/atom

=====

Which one sits at the bottom of the stability order? one does.

=====

one | VASP calculation (PBE+U) on a geometry-optimized Li2CoP4O12 structure.

Cell and atoms, written as extended XYZ:
```
38
Lattice="4.625 -7.221 0.000 4.625 7.221 0.000 -1.913 0.000 7.470" Properties=species:S:1:pos:R:3 pbc="T T T"
Li 1.065 2.101 1.937
Li 0.109 -2.101 5.672
Li 7.229 2.101 1.798
Li 6.272 -2.101 5.533
Co 4.147 1.856 1.867
Co 3.190 -1.856 5.602
P 3.015 4.695 2.825
P 5.279 4.695 0.910
P 1.767 0.989 6.150
P 2.724 -0.989 2.415
P 4.614 0.989 5.055
P 5.570 -0.989 1.320
P 2.059 -4.695 6.560
P 4.322 -4.695 4.645
O 2.654 3.309 2.336
O 0.884 1.497 4.905
O 4.147 5.325 1.867
O 3.363 4.895 4.266
O 3.017 4.895 6.939
O 1.422 1.752 7.390
O 2.615 0.518 2.418
O 1.840 -1.497 1.170
O 1.659 -0.518 6.153
O 3.190 1.471 5.602
O 5.640 3.309 1.399
O 2.379 -1.752 3.655
O 4.959 1.752 3.815
O 1.698 -3.309 6.071
O 4.147 -1.471 1.867
O 5.679 0.518 1.317
O 5.497 1.497 6.300
O 4.722 -0.518 5.052
O 5.916 -1.752 0.080
O 4.320 -4.895 0.531
O 3.974 -4.895 3.204
O 3.190 -5.325 5.602
O 6.454 -1.497 2.565
O 4.683 -3.309 5.134
```

## Properties
* space-group type: C2/c (15)
* mass density: 2.6 g/cm3
* size of the total moment: 0.1579 μB/atom

=====

two | VASP calculation (PBE+U) on a geometry-optimized Li2CoP4O12 structure.

Cell and atoms, written as extended XYZ:
```
19
Lattice="5.335 0.000 0.000 -2.038 6.788 0.000 -0.506 -2.563 6.725" Properties=species:S:1:pos:R:3 pbc="T T T"
Li 0.304 1.350 0.414
Li 2.487 2.875 6.311
Co 1.395 2.112 3.363
P -0.631 4.094 1.958
P -0.304 4.399 4.894
P 3.094 -0.174 1.831
P 3.422 0.131 4.767
O -0.728 -0.016 5.637
O -1.047 4.533 3.462
O -1.329 4.111 5.932
O 0.046 2.727 2.035
O 0.553 5.116 1.568
O 1.903 0.759 1.992
O 0.888 3.466 4.733
O 2.238 -0.891 5.158
O 2.745 1.498 4.690
O 4.120 0.114 0.793
O 3.838 -0.308 3.263
O 3.519 4.241 1.088
```

## Properties
* space-group type: P-1 (2)
* mass density: 2.6 g/cm3
* size of the total moment: 0.1556 μB/atom

=====

Which one sits at the bottom of the stability order? two does.